PrAlGe2: optimized geometry, PBE.

Output
Density of states at the Fermi level = 2.5 states/eV per cell
V = 21.5 Å³ per atom
Total magnetic moment = 0.00 μB per formula unit

a b c (Å): 4.5313 4.5313 4.1927
angles (deg): 90.00 90.00 90.00
With the nearest neighbours (Å) after each atom.
Positions (direct):
Pr1 0.0000 0.0000 0.0000  8 Ge 3.09, 4 Al 3.20
Al1 0.5000 0.5000 0.0000  8 Ge 3.09, 4 Pr 3.20
Ge1 0.0000 0.5000 0.5000  4 Pr 3.09, 4 Al 3.09, 4 Ge 3.20
Ge2 0.5000 0.0000 0.5000  4 Pr 3.09, 4 Al 3.09, 4 Ge 3.20



Pr4AlGe3: optimized geometry, PBE.

Output
Density of states at the Fermi level = 6.3 states/eV per cell
V = 26.5 Å³ per atom
Total magnetic moment = 0.10 μB per formula unit

a b c (Å): 4.1192 4.5378 11.3426
angles (deg): 90.00 90.00 90.00
With the nearest neighbours (Å) after each atom.
Positions (direct):
Pr1 0.0000 0.0000 0.0000  7 Ge 3.13-3.32
Pr2 0.0000 0.5000 0.4960  4 Al 3.18, 3 Ge 3.20-3.37
Pr3 0.5000 0.0000 0.2761  6 Ge 3.14-3.36, 1 Al 3.33
Pr4 0.5000 0.5000 0.7805  5 Ge 3.15, 2 Al 3.30
Al1 0.5000 0.0000 0.5697  2 Ge 2.64
Ge1 0.0000 0.0000 0.7151  2 Al 2.64
Ge2 0.0000 0.5000 0.2140  2 Ge 2.71
Ge3 0.5000 0.5000 0.0581  2 Ge 2.71



PrAl3Ge3: optimized geometry, PBE.

Output
Density of states at the Fermi level = 4.3 states/eV per cell
V = 24.5 Å³ per atom
Total magnetic moment = 0.00 μB per formula unit

a b c (Å): 6.9983 6.9983 6.9983
angles (deg): 90.00 90.00 90.00
With the nearest neighbours (Å) after each atom.
Positions (direct):
Pr1 0.0000 0.0000 0.0000  12 Ge 3.91, 12 Al 3.91
Pr2 0.5000 0.5000 0.5000  12 Ge 3.91, 12 Al 3.91
Al1 0.0000 0.2500 0.5000  4 Ge 2.47
Al2 0.0000 0.7500 0.5000  4 Ge 2.47
Al3 0.2500 0.5000 0.0000  4 Ge 2.47
Al4 0.5000 0.0000 0.2500  4 Ge 2.47
Al5 0.5000 0.0000 0.7500  4 Ge 2.47
Al6 0.7500 0.5000 0.0000  4 Ge 2.47
Ge1 0.0000 0.5000 0.2500  4 Al 2.47
Ge2 0.0000 0.5000 0.7500  4 Al 2.47
Ge3 0.2500 0.0000 0.5000  4 Al 2.47
Ge4 0.5000 0.2500 0.0000  4 Al 2.47
Ge5 0.5000 0.7500 0.0000  4 Al 2.47
Ge6 0.7500 0.0000 0.5000  4 Al 2.47



| no. | ΔE_f (eV per atom) |
| --- | --- |
| 1 | -0.390 |
| 2 | -0.742 |
| 3 | 0.058 |